Density functional theory data (PBE) for an optimized crystal structure of Nb2SnSb2.

Cell: 7.768 7.768 3.622 Å, 90.00 90.00 90.00°
Sites, in units of the cell vectors:
Nb 0.147 0.353 0.000
Nb 0.353 0.853 0.000
Nb 0.647 0.147 0.000
Nb 0.853 0.647 0.000
Sn 0.000 0.000 0.000
Sn 0.500 0.500 0.000
Sb 0.146 0.646 0.500
Sb 0.354 0.146 0.500
Sb 0.646 0.854 0.500
Sb 0.854 0.354 0.500

Calculated values
Total magnetization, μB per atom: 0.00
E_form (uncorrected), meV per atom: -64